1.
5
Lattice="-1.6382 -3.4971 -1.4810 1.7760 -2.1311 3.0678 -3.4175 0.5896 2.3880" Properties=species:S:1:pos:R:3 comment="CuAgBPt2 (PBE, relaxed)" density_g_cm3=13.195 spacegroup="No. 123" formation_enthalpy_0k_ev_per_fu=-0.341 pbc="T T T"
B 0.0000 0.0000 0.0000
Pt 0.8880 -1.0656 1.5339
Ag -1.6398 -2.5193 1.9874
Cu -1.7087 0.2948 1.1940
Pt -0.8191 -1.7486 -0.7405

=====

2.
5
Lattice="5.6051 0.0000 0.0000 0.0000 5.9398 0.0000 0.0000 0.0000 5.6051" Properties=species:S:1:pos:R:3 comment="RbCu2AgB (PBE, relaxed)" density_g_cm3=2.948 spacegroup="No. 123" formation_enthalpy_0k_ev_per_fu=12.309 pbc="T T T"
Ag 0.0000 2.9699 0.0000
Cu 0.0000 0.0000 2.8025
Cu 2.8025 0.0000 0.0000
Rb 0.0000 0.0000 0.0000
B 2.8025 2.9699 2.8025

=====

3.
6
Lattice="-2.4926 2.5829 1.1345 0.6217 -3.5601 3.2255 5.1661 4.1731 1.8496" Properties=species:S:1:pos:R:3 comment="DyAgB (PBE, relaxed)" density_g_cm3=8.203 spacegroup="No. 12" formation_enthalpy_0k_ev_per_fu=-0.493 pbc="T T T"
Ag 2.5403 0.7631 3.8439
B 4.2710 1.9663 4.9072
B -0.9758 1.2296 1.3023
Dy 4.0600 2.8855 2.3507
Ag 0.7549 2.4327 2.3657
Dy -0.7648 0.3103 3.8588

=====

4.
11
Lattice="5.3409 0.0000 0.0000 -2.6705 4.6254 0.0000 0.0000 0.0000 6.1397" Properties=species:S:1:pos:R:3 comment="DyAg2B2O6 (PBE, relaxed)" raw_formation_energy_ev_per_atom=-1.896 density_g_cm3=5.429 spacegroup="No. 147" pbc="T T T"
B 2.6705 1.5418 1.3468
O 1.3115 1.2921 1.3448
Dy 0.0000 0.0000 0.0000
O 3.5662 0.4898 1.3448
Ag 2.6705 1.5418 4.3424
O -0.8957 4.1356 4.7949
O 1.3589 3.3333 4.7949
O 3.1337 2.8435 1.3448
O -0.4633 1.7819 4.7949
B 0.0000 3.0836 4.7928
Ag 0.0000 3.0836 1.7973

=====

5.
20
Lattice="7.6554 0.0000 0.0000 -2.5518 7.2176 0.0000 -2.5518 -3.6088 6.2506" Properties=species:S:1:pos:R:3 comment="DyAg4B3Pt12 (PBE, relaxed)" density_g_cm3=14.267 spacegroup="No. 229" formation_enthalpy_0k_ev_per_fu=4.347 pbc="T T T"
B 2.5518 -1.8044 3.1253
Pt -1.2759 0.9022 4.6880
B 2.5518 3.6088 0.0000
Dy 0.0000 0.0000 0.0000
Ag 3.8277 0.0000 0.0000
Pt 3.8277 0.0000 3.1253
Pt -1.2759 3.6088 3.1253
Pt 1.4369 -1.0160 1.7598
Ag -1.2759 3.6088 0.0000
B -2.5518 1.8044 3.1253
Pt 3.8277 2.7066 1.5627
Ag 1.2759 1.8044 3.1253
Pt -3.6667 2.5928 4.4908
Pt -1.4369 1.0160 1.7598
Pt 3.6667 5.1855 0.0000
Pt 3.6667 -2.5928 4.4908
Pt 1.2759 -0.9022 4.6880
Ag -1.2759 -1.8044 3.1253
Pt 1.4369 2.0321 0.0000
Pt 1.2759 4.5110 1.5627

=====

6.
11
Lattice="-5.1311 -0.4762 1.3257 3.0756 -4.3295 -0.3296 1.4686 0.5943 5.8979" Properties=species:S:1:pos:R:3 comment="ErAg2B2O6 (PBE, relaxed)" raw_formation_energy_ev_per_atom=-1.906 density_g_cm3=5.552 spacegroup="No. 147" pbc="T T T"
O 1.7800 -1.2450 4.6326
O 0.2107 -2.9615 5.1964
Ag 0.7686 -2.8717 1.9432
O -3.0655 -0.6783 2.2047
B -2.0767 -1.6316 2.0544
O 2.4785 -3.5332 4.6893
B 1.4898 -2.5799 4.8395
Ag -1.3555 -1.3398 4.9508
O -0.7976 -1.2500 1.6976
Er 0.0000 0.0000 0.0000
O -2.3669 -2.9665 2.2613

=====

How do the records compare in E? In the order shown, they have -5.210 -1.276 -4.875 -6.752 -5.209 -6.758 eV/atom.